Mn2Ag2SbO6: relaxed, PBE with a Hubbard U.

a b c (Å): 5.307 5.307 6.859
angles (deg): 103.91 103.91 119.38
Last column: magnetic moment on the atom in μB.
Fractional positions:
O1 0.774 0.774 0.673  -0.06
O2 0.226 0.226 0.327  -0.06
O3 0.101 0.438 0.670  -0.04
O4 0.438 0.101 0.670  -0.04
O5 0.899 0.562 0.330  -0.04
O6 0.562 0.899 0.330  -0.04
Sb1 0.000 0.000 0.500  0.01
Ag1 0.181 0.819 0.000  0.01
Ag2 0.819 0.181 0.000  0.01
Mn1 0.332 0.668 0.500  2.41
Mn2 0.668 0.332 0.500  2.41

Calculated values
Fermi-level density of states: 0.20 states/eV per atom
energy: -63.56 eV per cell
volume: 148.0 Å³/cell